[1]
The following is a PBE calculation of an optimized crystal structure of Ba2InRe, from Alexandria.

Values from the calculation:
energy relative to the elements = 0.836 eV/atom

Unit cell a=5.090 b=5.090 c=9.193 alpha=90.00 beta=90.00 gamma=90.00
Space group I-4m2 (No. 119)
Unique sites:
Ba 0.000 0.000 0.000 [2 per cell]
Ba 0.000 0.500 0.250 [2 per cell]
In 0.000 0.500 0.750 [2 per cell]
Re 0.000 0.000 0.500 [2 per cell]

---

[2]
The following is a PBE calculation of an optimized crystal structure of ZnNiGe2Se, from Alexandria.

Values from the calculation:
uncorrected formation energy = 1.066 eV/atom

Unit cell a=5.176 b=5.176 c=4.670 alpha=90.00 beta=90.00 gamma=90.00
Space group P4/mmm (No. 123)
Unique sites:
Zn 0.000 0.000 0.000 [1 per cell]
Ni 0.500 0.500 0.000 [1 per cell]
Ge 0.000 0.500 0.500 [2 per cell]
Se 0.000 0.000 0.500 [1 per cell]

---

[3]
The following is a PBE calculation of an optimized crystal structure of Sm5InBi2, from Alexandria.

Values from the calculation:
energy relative to the elements = -0.300 eV/atom

Unit cell a=5.931 b=11.788 c=14.962 alpha=90.00 beta=90.00 gamma=90.00
Space group Cmcm (No. 63)
Unique sites:
Sm 0.000 0.077 0.100 [8 per cell]
Sm 0.000 0.378 0.050 [8 per cell]
Sm 0.000 0.418 0.750 [4 per cell]
In 0.000 0.289 0.250 [4 per cell]
Bi 0.000 0.200 0.616 [8 per cell]

---

[4]
The following is a PBE calculation of an optimized crystal structure of YHo2Ni, from Alexandria.

Values from the calculation:
ΔE to the lowest computed polymorph = 0.58 eV per formula unit
energy relative to the elements = -0.109 eV/atom

Unit cell a=3.7976 b=3.7976 c=26.5014 alpha=90.00 beta=90.00 gamma=120.00
Space group R3m (No. 160, hexagonal axes)
Unique sites:
Y 0.0000 0.0000 0.0000 [3 per cell]
Ho 0.0000 0.0000 0.2273 [3 per cell]
Ho 0.0000 0.0000 0.4432 [3 per cell]
Ni 0.0000 0.0000 0.8361 [3 per cell]

---

no.,N(E_F) (states/eV/f.u.),magnetization (Bohr magnetons per cell)
1,6.13,2.94
2,5.36,0.45
3,8.82,0.00
4,5.11,0.00